[1]
A relaxed Nd2SiSb2 crystal. Source: OQMD via LeMat-Bulk, functional PBE-GGA.

Summary:
**Calculated volume**: 305.10 Å³/cell
**Total DFT energy (no corrections)**: -0.1844 Ha/atom

Cell: 4.405 4.405 18.158 Å, 90.00 90.00 120.00°
Fractional positions:
Nd  0.333  0.667  0.155
Nd  0.333  0.667  0.345
Nd  0.667  0.333  0.655
Nd  0.667  0.333  0.845
Si  0.000  0.000  0.250
Si  0.000  0.000  0.750
Sb  0.333  0.667  0.542
Sb  0.333  0.667  0.958
Sb  0.667  0.333  0.042
Sb  0.667  0.333  0.458

=====

[2]
A relaxed Sr2FeSn crystal. Source: OQMD via LeMat-Bulk, functional PBE-GGA.

Summary:
**Calculated volume**: 402.30 Å³/cell
**Total DFT energy (no corrections)**: -0.1359 Ha/atom

Cell: 7.382 7.382 7.382 Å, 90.00 90.00 90.00°
Fractional positions:
Sr  0.000  0.000  0.000
Sr  0.000  0.500  0.500
Sr  0.250  0.250  0.250
Sr  0.250  0.750  0.750
Sr  0.500  0.000  0.500
Sr  0.500  0.500  0.000
Sr  0.750  0.250  0.750
Sr  0.750  0.750  0.250
Fe  0.250  0.250  0.750
Fe  0.250  0.750  0.250
Fe  0.750  0.250  0.250
Fe  0.750  0.750  0.750
Sn  0.000  0.000  0.500
Sn  0.000  0.500  0.000
Sn  0.500  0.000  0.000
Sn  0.500  0.500  0.500

=====

[3]
A relaxed InTePt crystal. Source: OQMD via LeMat-Bulk, functional PBE-GGA.

Summary:
**Calculated volume**: 290.87 Å³/cell
**Total DFT energy (no corrections)**: -0.1565 Ha/atom

Cell: 6.626 6.626 6.626 Å, 90.00 90.00 90.00°
Fractional positions:
In  0.000  0.000  0.000
In  0.000  0.500  0.500
In  0.500  0.000  0.500
In  0.500  0.500  0.000
Te  0.000  0.000  0.500
Te  0.000  0.500  0.000
Te  0.500  0.000  0.000
Te  0.500  0.500  0.500
Pt  0.250  0.250  0.250
Pt  0.250  0.750  0.750
Pt  0.750  0.250  0.750
Pt  0.750  0.750  0.250

=====

[4]
A relaxed ZrTaFeB crystal. Source: OQMD via LeMat-Bulk, functional PBE-GGA.

Summary:
**Calculated volume**: 225.21 Å³/cell
**Excess energy over the best structure of this formula in the dataset**: 0.0 kJ/mol of atoms

Cell: 6.084 6.084 6.084 Å, 90.00 90.00 90.00°
Fractional positions:
Zr  0.000  0.000  0.000
Zr  0.000  0.500  0.500
Zr  0.500  0.000  0.500
Zr  0.500  0.500  0.000
Ta  0.250  0.250  0.750
Ta  0.250  0.750  0.250
Ta  0.750  0.250  0.250
Ta  0.750  0.750  0.750
Fe  0.000  0.000  0.500
Fe  0.000  0.500  0.000
Fe  0.500  0.000  0.000
Fe  0.500  0.500  0.500
B  0.250  0.250  0.250
B  0.250  0.750  0.750
B  0.750  0.250  0.750
B  0.750  0.750  0.250

=====

[5]
A relaxed NbSiTe crystal. Source: OQMD via LeMat-Bulk, functional PBE-GGA.

Summary:
**Calculated volume**: 275.67 Å³/cell
**Total DFT energy (no corrections)**: -0.2143 Ha/atom

Cell: 6.508 6.508 6.508 Å, 90.00 90.00 90.00°
Fractional positions:
Nb  0.000  0.000  0.000
Nb  0.000  0.500  0.500
Nb  0.500  0.000  0.500
Nb  0.500  0.500  0.000
Si  0.250  0.250  0.750
Si  0.250  0.750  0.250
Si  0.750  0.250  0.250
Si  0.750  0.750  0.750
Te  0.250  0.250  0.250
Te  0.250  0.750  0.750
Te  0.750  0.250  0.750
Te  0.750  0.750  0.250

=====

[6]
A relaxed Y2TlCoCu crystal. Source: OQMD via LeMat-Bulk, functional PBE-GGA.

Summary:
**Calculated volume**: 211.61 Å³/cell
**Total DFT energy (no corrections)**: -0.2026 Ha/atom

Cell: 3.729 3.961 14.325 Å, 90.00 90.00 90.00°
Fractional positions:
Y  0.000  0.000  0.000
Y  0.000  0.000  0.277
Y  0.000  0.500  0.500
Y  0.000  0.500  0.777
Tl  0.500  0.000  0.633
Tl  0.500  0.500  0.133
Co  0.500  0.000  0.435
Co  0.500  0.500  0.935
Cu  0.500  0.000  0.838
Cu  0.500  0.500  0.338

=====

[7]
A relaxed TlZnCuTc crystal. Source: OQMD via LeMat-Bulk, functional PBE-GGA.

Summary:
**Calculated volume**: 252.55 Å³/cell
**Excess energy over the best structure of this formula in the dataset**: 7.3 kJ/mol of atoms

Cell: 6.321 6.321 6.321 Å, 90.00 90.00 90.00°
Fractional positions:
Tl  0.000  0.000  0.000
Tl  0.000  0.500  0.500
Tl  0.500  0.000  0.500
Tl  0.500  0.500  0.000
Zn  0.250  0.250  0.750
Zn  0.250  0.750  0.250
Zn  0.750  0.250  0.250
Zn  0.750  0.750  0.750
Cu  0.250  0.250  0.250
Cu  0.250  0.750  0.750
Cu  0.750  0.250  0.750
Cu  0.750  0.750  0.250
Tc  0.000  0.000  0.500
Tc  0.000  0.500  0.000
Tc  0.500  0.000  0.000
Tc  0.500  0.500  0.500

=====

[8]
A relaxed LiGdSeO crystal. Source: OQMD via LeMat-Bulk, functional PBE-GGA.

Summary:
**Calculated volume**: 160.86 Å³/cell
**Excess energy over the best structure of this formula in the dataset**: 25.7 kJ/mol of atoms

Cell: 3.871 6.165 6.740 Å, 90.00 90.00 90.00°
Fractional positions:
Li  0.000  0.150  0.000
Li  0.000  0.850  0.500
Gd  0.500  0.451  0.329
Gd  0.500  0.549  0.829
Se  0.000  0.263  0.599
Se  0.000  0.737  0.099
O  0.500  0.277  0.045
O  0.500  0.723  0.545

=====

[9]
A relaxed KYCoTe3 crystal. Source: OQMD via LeMat-Bulk, functional PBE-GGA.

Summary:
**Calculated volume**: 780.18 Å³/cell
**Excess energy over the best structure of this formula in the dataset**: 2.2 kJ/mol of atoms

Cell: 11.484 4.263 15.935 Å, 90.00 90.00 90.00°
Fractional positions:
K  0.231  0.250  0.003
K  0.269  0.750  0.503
K  0.731  0.250  0.497
K  0.769  0.750  0.997
Y  0.017  0.750  0.253
Y  0.483  0.250  0.753
Y  0.517  0.750  0.247
Y  0.983  0.250  0.747
Co  0.237  0.750  0.782
Co  0.263  0.250  0.282
Co  0.737  0.750  0.718
Co  0.763  0.250  0.218
Te  0.054  0.750  0.876
Te  0.085  0.250  0.381
Te  0.235  0.250  0.684
Te  0.265  0.750  0.184
Te  0.415  0.750  0.881
Te  0.446  0.250  0.376
Te  0.554  0.750  0.624
Te  0.585  0.250  0.119
Te  0.735  0.250  0.816
Te  0.765  0.750  0.316
Te  0.915  0.750  0.619
Te  0.946  0.250  0.124

=====

[10]
A relaxed NaNb5 crystal. Source: OQMD via LeMat-Bulk, functional PBE-GGA.

Summary:
**Calculated volume**: 129.25 Å³/cell
**Total DFT energy (no corrections)**: -0.2927 Ha/atom

Cell: 5.859 5.859 4.348 Å, 90.00 90.00 120.00°
Fractional positions:
Na  0.000  0.000  0.000
Nb  0.000  0.500  0.500
Nb  0.333  0.667  0.000
Nb  0.500  0.000  0.500
Nb  0.500  0.500  0.500
Nb  0.667  0.333  0.000

=====

[11]
A relaxed CsEr3Se5 crystal. Source: OQMD via LeMat-Bulk, functional PBE-GGA.

Summary:
**Calculated volume**: 1117.35 Å³/cell
**Total DFT energy (no corrections)**: -0.1983 Ha/atom

Cell: 22.168 4.111 12.260 Å, 90.00 90.00 90.00°
Fractional positions:
Cs  0.090  0.250  0.143
Cs  0.410  0.750  0.643
Cs  0.590  0.250  0.357
Cs  0.910  0.750  0.857
Er  0.054  0.750  0.610
Er  0.175  0.250  0.798
Er  0.197  0.250  0.455
Er  0.303  0.750  0.955
Er  0.325  0.750  0.298
Er  0.446  0.250  0.110
Er  0.554  0.750  0.890
Er  0.675  0.250  0.702
Er  0.697  0.250  0.045
Er  0.803  0.750  0.545
Er  0.825  0.750  0.202
Er  0.946  0.250  0.390
Se  0.048  0.250  0.768
Se  0.069  0.250  0.447
Se  0.176  0.750  0.952
Se  0.184  0.750  0.626
Se  0.198  0.750  0.303
Se  0.302  0.250  0.803
Se  0.316  0.250  0.126
Se  0.324  0.250  0.452
Se  0.431  0.750  0.947
Se  0.452  0.750  0.268
Se  0.548  0.250  0.732
Se  0.569  0.250  0.053
Se  0.676  0.750  0.548
Se  0.684  0.750  0.874
Se  0.698  0.750  0.197
Se  0.802  0.250  0.697
Se  0.816  0.250  0.374
Se  0.824  0.250  0.048
Se  0.931  0.750  0.553
Se  0.952  0.750  0.232

=====

[12]
A relaxed LiCu2Sn crystal. Source: OQMD via LeMat-Bulk, functional PBE-GGA.

Summary:
**Calculated volume**: 235.53 Å³/cell
**Total DFT energy (no corrections)**: -0.1242 Ha/atom

Cell: 6.176 6.176 6.176 Å, 90.00 90.00 90.00°
Fractional positions:
Li  0.000  0.000  0.000
Li  0.000  0.000  0.500
Li  0.000  0.500  0.000
Li  0.500  0.000  0.000
Cu  0.224  0.224  0.224
Cu  0.224  0.224  0.776
Cu  0.224  0.776  0.224
Cu  0.224  0.776  0.776
Cu  0.776  0.224  0.224
Cu  0.776  0.224  0.776
Cu  0.776  0.776  0.224
Cu  0.776  0.776  0.776
Sn  0.000  0.500  0.500
Sn  0.500  0.000  0.500
Sn  0.500  0.500  0.000
Sn  0.500  0.500  0.500